[1]
A plane-wave DFT calculation with PBE was carried out for a relaxed ReTeO6 crystal.

Values from the calculation:
The formation energy from raw total energies comes out at -1.0408 eV per atom. As for the crystal system: monoclinic. The space group is C2/m, No. 12.

a = 5.4421 Å, b = 5.4421 Å, c = 4.9073 Å
α = 96.40°, β = 96.40°, γ = 126.41°
With the nearest neighbours (Å) after each atom.
Fractional coordinates of all 8 atoms:
O: 0.3880 0.1255 0.2560  1 Re 1.94, 1 Te 2.00
O: 0.7411 0.7411 0.2602  1 Re 1.86, 1 Te 2.01
O: 0.6120 0.8745 0.7440  1 Re 1.94, 1 Te 2.00
O: 0.1255 0.3880 0.2560  1 Re 1.94, 1 Te 2.00
Re: 0.5000 0.5000 0.5000  6 O 1.86-1.94
O: 0.8745 0.6120 0.7440  1 Re 1.94, 1 Te 2.00
Te: 0.0000 0.0000 0.0000  6 O 2.00-2.01
O: 0.2589 0.2589 0.7398  1 Re 1.86, 1 Te 2.01

=====

[2]
A plane-wave DFT calculation with PBE was carried out for a relaxed ZnReHg crystal.

Values from the calculation:
Its formation energy is 0.54 eV per atom. For the energy above the most stable polymorph in this dataset, the calculation gives 0.0000 eV per atom. As for the crystal system: trigonal. The space group is P3m1, No. 156.

a = 2.8727 Å, b = 2.8727 Å, c = 7.1279 Å
α = 90.00°, β = 90.00°, γ = 120.00°
With the nearest neighbours (Å) after each atom.
Fractional coordinates of all 3 atoms:
Hg: 0.0000 0.0000 0.9991  6 Hg 2.87, 3 Zn 3.00, 3 Re 3.01
Re: 0.3333 0.6667 0.3522  3 Zn 2.69, 6 Re 2.87
Zn: 0.6667 0.3333 0.6487  3 Re 2.69, 6 Zn 2.87, 3 Hg 3.00

=====

[3]
A plane-wave DFT calculation with PBE was carried out for a relaxed Rb3Pm2Te6Pb crystal.

Values from the calculation:
The formation energy from raw total energies comes out at -1.1020 eV per atom. As for the crystal system: monoclinic. The space group is C2/m, No. 12.

a = 8.0209 Å, b = 8.0209 Å, c = 9.0519 Å
α = 98.49°, β = 98.49°, γ = 120.00°
With the nearest neighbours (Å) after each atom.
Fractional coordinates of all 12 atoms:
Rb: 0.8364 0.1636 0.5000  6 Te 3.66-3.72
Te: 0.5881 0.9312 0.7944  2 Pm 3.18, 1 Pb 3.28
Te: 0.2752 0.2752 0.7953  2 Pm 3.18, 1 Pb 3.27
Rb: 0.5000 0.5000 0.5000  6 Te 3.64-3.72
Pm: 0.6670 0.3330 0.0000  6 Te 3.18
Pb: 0.0000 0.0000 0.0000  6 Te 3.27-3.28
Pm: 0.3330 0.6670 0.0000  6 Te 3.18
Te: 0.9312 0.5881 0.7944  2 Pm 3.18, 1 Pb 3.28
Rb: 0.1636 0.8364 0.5000  6 Te 3.66-3.72
Te: 0.7248 0.7248 0.2047  2 Pm 3.18, 1 Pb 3.27
Te: 0.4119 0.0688 0.2056  2 Pm 3.18, 1 Pb 3.28
Te: 0.0688 0.4119 0.2056  2 Pm 3.18, 1 Pb 3.28

=====

[4]
A plane-wave DFT calculation with PBE was carried out for a relaxed Nd2Y3Ge4 crystal.

Values from the calculation:
Its formation energy is -0.89 eV per atom. As for the crystal system: monoclinic. The space group is P2_1/c, No. 14.

a = 7.6967 Å, b = 8.0078 Å, c = 7.9049 Å
α = 90.00°, β = 90.00°, γ = 111.23°
With the nearest neighbours (Å) after each atom.
Fractional coordinates of all 18 atoms:
Y: 0.0000 0.5000 0.5000  6 Ge 3.05-3.10
Y: 0.2342 0.2400 0.6647  6 Ge 2.88-3.04
Ge: 0.8337 0.0869 0.5386  4 Y 2.88-3.10, 1 Nd 3.05
Ge: 0.6663 0.9131 0.0386  4 Y 2.88-3.10, 1 Nd 3.05
Ge: 0.1663 0.9131 0.4614  4 Y 2.88-3.10, 1 Nd 3.05
Ge: 0.3337 0.0869 0.9614  4 Y 2.88-3.10, 1 Nd 3.05
Nd: 0.5662 0.1966 0.3193  6 Ge 3.05-3.40
Nd: 0.4338 0.8034 0.6807  6 Ge 3.05-3.40
Ge: 0.1294 0.5073 0.8704  1 Ge 2.83, 5 Y 3.01-3.09, 1 Nd 3.05
Nd: 0.9338 0.8034 0.8193  6 Ge 3.05-3.40
Ge: 0.6294 0.5073 0.6296  1 Ge 2.83, 5 Y 3.01-3.09, 1 Nd 3.05
Y: 0.2658 0.7600 0.1647  6 Ge 2.88-3.04
Y: 0.7658 0.7600 0.3353  6 Ge 2.88-3.04
Nd: 0.0662 0.1966 0.1807  6 Ge 3.05-3.40
Y: 0.5000 0.5000 0.0000  6 Ge 3.05-3.10
Y: 0.7342 0.2400 0.8353  6 Ge 2.88-3.04
Ge: 0.8706 0.4927 0.1296  1 Ge 2.83, 5 Y 3.01-3.09, 1 Nd 3.05
Ge: 0.3706 0.4927 0.3704  1 Ge 2.83, 5 Y 3.01-3.09, 1 Nd 3.05

=====

[5]
A plane-wave DFT calculation with PBE was carried out for a relaxed ZrRu2Br crystal.

Values from the calculation:
The formation energy from raw total energies comes out at 0.2771 eV per atom. For the energy above the most stable polymorph in this dataset, the calculation gives 0.2906 eV per atom. As for the crystal system: trigonal. The space group is R3m, No. 160.

a = 9.1520 Å, b = 9.1520 Å, c = 9.1520 Å
α = 19.07°, β = 19.07°, γ = 19.07°
With the nearest neighbours (Å) after each atom.
Fractional coordinates of all 4 atoms:
Ru: 0.9930 0.9930 0.9930  3 Ru 2.59
Zr: 0.4985 0.4985 0.4985  3 Br 2.75, 3 Ru 3.00, 6 Zr 3.03
Ru: 0.2557 0.2557 0.2557  3 Ru 2.59
Br: 0.7529 0.7529 0.7529  3 Zr 2.75, 6 Br 3.03, 3 Ru 3.06

=====

[6]
A plane-wave DFT calculation with PBE was carried out for a relaxed ZnAs2Pd crystal.

Values from the calculation:
Its formation energy is 0.03 eV per atom. As for the crystal system: trigonal. The space group is R-3m, No. 166.

a = 2.9475 Å, b = 2.9475 Å, c = 9.8567 Å
α = 81.40°, β = 81.40°, γ = 60.00°
With the nearest neighbours (Å) after each atom.
Fractional coordinates of all 4 atoms:
As: 0.0953 0.0953 0.7142  3 Pd 2.69, 1 Zn 2.78, 6 As 2.95
As: 0.9047 0.9047 0.2858  3 Pd 2.69, 1 Zn 2.78, 6 As 2.95
Zn: 0.0000 0.0000 0.0000  2 As 2.78, 6 Zn 2.95
Pd: 0.5000 0.5000 0.5000  6 As 2.69, 6 Pd 2.95

=====

[7]
A plane-wave DFT calculation with PBE was carried out for a relaxed CsTl3Hg3 crystal.

Values from the calculation:
Its formation energy is -0.08 eV per atom. For the energy above the most stable polymorph in this dataset, the calculation gives 0.0113 eV per atom. As for the crystal system: hexagonal. The space group is P6_3/m, No. 176.

a = 5.8395 Å, b = 9.9758 Å, c = 9.9758 Å
α = 120.00°, β = 90.00°, γ = 90.00°
With the nearest neighbours (Å) after each atom.
Fractional coordinates of all 14 atoms:
Hg: 0.2500 0.9243 0.4616  2 Hg 3.20, 2 Tl 3.25, 1 Cs 3.53
Hg: 0.7500 0.4627 0.9243  2 Hg 3.20, 2 Tl 3.25, 1 Cs 3.53
Tl: 0.2500 0.2346 0.1180  2 Hg 3.25, 6 Tl 3.51-3.55
Cs: 0.2500 0.3333 0.6667  9 Hg 3.53-3.67
Tl: 0.7500 0.1180 0.8834  2 Hg 3.25, 6 Tl 3.51-3.55
Hg: 0.2500 0.5384 0.4627  2 Hg 3.20, 2 Tl 3.25, 1 Cs 3.53
Hg: 0.2500 0.5373 0.0757  2 Hg 3.20, 2 Tl 3.25, 1 Cs 3.53
Tl: 0.7500 0.7654 0.8820  2 Hg 3.25, 6 Tl 3.51-3.55
Tl: 0.7500 0.1166 0.2346  2 Hg 3.25, 6 Tl 3.51-3.55
Hg: 0.7500 0.4616 0.5373  2 Hg 3.20, 2 Tl 3.25, 1 Cs 3.53
Cs: 0.7500 0.6667 0.3333  9 Hg 3.53-3.67
Tl: 0.2500 0.8820 0.1166  2 Hg 3.25, 6 Tl 3.51-3.55
Hg: 0.7500 0.0757 0.5384  2 Hg 3.20, 2 Tl 3.25, 1 Cs 3.53
Tl: 0.2500 0.8834 0.7654  2 Hg 3.25, 6 Tl 3.51-3.55

=====

[8]
A plane-wave DFT calculation with PBE was carried out for a relaxed K4Li crystal.

Values from the calculation:
Its formation energy is 0.13 eV per atom. For the energy above the most stable polymorph in this dataset, the calculation gives 0.0000 eV per atom. As for the crystal system: cubic. The space group is Pm-3m, No. 221.

a = 7.0034 Å, b = 7.0034 Å, c = 7.0034 Å
α = 90.00°, β = 90.00°, γ = 90.00°
With the nearest neighbours (Å) after each atom.
Fractional coordinates of all 5 atoms:
K: 0.0000 0.0000 0.0000  12 K 4.95
Li: 0.5000 0.5000 0.5000  6 K 3.50
K: 0.5000 0.0000 0.5000  2 Li 3.50
K: 0.5000 0.5000 0.0000  2 Li 3.50
K: 0.0000 0.5000 0.5000  2 Li 3.50

=====

[9]
A plane-wave DFT calculation with PBE was carried out for a relaxed Pm6Pr2DyTm crystal.

Values from the calculation:
Its formation energy is 0.11 eV per atom. As for the crystal system: monoclinic. The space group is C2/c, No. 15.

a = 9.8455 Å, b = 8.9418 Å, c = 8.9418 Å
α = 118.15°, β = 94.43°, γ = 94.43°
With the nearest neighbours (Å) after each atom.
Fractional coordinates of all 20 atoms:
Tm: 0.7500 0.5920 0.4080  6 Pm 3.47-3.62, 2 Pr 3.61
Pr: 0.4580 0.8045 0.7028  5 Pm 3.28-3.54, 2 Dy 3.42-3.44, 1 Tm 3.61
Pm: 0.6902 0.0164 0.5752  3 Pm 3.32-3.68, 1 Pr 3.45, 1 Tm 3.48, 1 Dy 3.63
Pm: 0.8098 0.4248 0.9836  3 Pm 3.32-3.68, 1 Pr 3.45, 1 Tm 3.48, 1 Dy 3.63
Pr: 0.9580 0.7028 0.8045  5 Pm 3.28-3.54, 2 Dy 3.42-3.44, 1 Tm 3.61
Dy: 0.2500 0.9814 0.0186  4 Pr 3.42-3.44, 4 Pm 3.63-3.69
Pm: 0.4442 0.2494 0.8759  7 Pm 3.46-3.83, 1 Pr 3.54, 1 Dy 3.69
Pm: 0.8807 0.2920 0.5013  3 Pr 3.28-3.51, 4 Pm 3.32-3.63, 2 Tm 3.47-3.62
Pm: 0.3098 0.9836 0.4248  3 Pm 3.32-3.68, 1 Pr 3.45, 1 Tm 3.48, 1 Dy 3.63
Pr: 0.5420 0.1955 0.2972  5 Pm 3.28-3.54, 2 Dy 3.42-3.44, 1 Tm 3.61
Dy: 0.7500 0.0186 0.9814  4 Pr 3.42-3.44, 4 Pm 3.63-3.69
Pm: 0.6193 0.4987 0.7080  3 Pr 3.28-3.51, 4 Pm 3.32-3.63, 2 Tm 3.47-3.62
Pm: 0.1193 0.7080 0.4987  3 Pr 3.28-3.51, 4 Pm 3.32-3.63, 2 Tm 3.47-3.62
Pm: 0.5558 0.7506 0.1241  7 Pm 3.46-3.83, 1 Pr 3.54, 1 Dy 3.69
Pr: 0.0420 0.2972 0.1955  5 Pm 3.28-3.54, 2 Dy 3.42-3.44, 1 Tm 3.61
Pm: 0.9442 0.8759 0.2494  7 Pm 3.46-3.83, 1 Pr 3.54, 1 Dy 3.69
Pm: 0.0558 0.1241 0.7506  7 Pm 3.46-3.83, 1 Pr 3.54, 1 Dy 3.69
Pm: 0.1902 0.5752 0.0164  3 Pm 3.32-3.68, 1 Pr 3.45, 1 Tm 3.48, 1 Dy 3.63
Tm: 0.2500 0.4080 0.5920  6 Pm 3.47-3.62, 2 Pr 3.61
Pm: 0.3807 0.5013 0.2920  3 Pr 3.28-3.51, 4 Pm 3.32-3.63, 2 Tm 3.47-3.62

=====

[10]
A plane-wave DFT calculation with PBE was carried out for a relaxed La5Th2 crystal.

Values from the calculation:
Its formation energy is 0.16 eV per atom. As for the crystal system: tetragonal. The space group is P4/mbm, No. 127.

a = 3.4839 Å, b = 12.0216 Å, c = 12.0216 Å
α = 90.00°, β = 90.00°, γ = 90.00°
With the nearest neighbours (Å) after each atom.
Fractional coordinates of all 14 atoms:
La: 0.0000 0.2009 0.0544  5 La 3.48-3.65, 4 Th 3.59-3.63
La: 0.0000 0.7991 0.9456  5 La 3.48-3.65, 4 Th 3.59-3.63
Th: 0.5000 0.6846 0.1846  2 Th 3.48, 10 La 3.59-3.63
La: 0.0000 0.7009 0.4456  5 La 3.48-3.65, 4 Th 3.59-3.63
La: 0.0000 0.4456 0.2991  5 La 3.48-3.65, 4 Th 3.59-3.63
Th: 0.5000 0.1846 0.3154  2 Th 3.48, 10 La 3.59-3.63
Th: 0.5000 0.3154 0.8154  2 Th 3.48, 10 La 3.59-3.63
La: 0.0000 0.9456 0.2009  5 La 3.48-3.65, 4 Th 3.59-3.63
La: 0.0000 0.5000 0.0000  6 La 3.48-3.65, 4 Th 3.59
La: 0.0000 0.2991 0.5544  5 La 3.48-3.65, 4 Th 3.59-3.63
La: 0.0000 0.0000 0.5000  6 La 3.48-3.65, 4 Th 3.59
Th: 0.5000 0.8154 0.6846  2 Th 3.48, 10 La 3.59-3.63
La: 0.0000 0.0544 0.7991  5 La 3.48-3.65, 4 Th 3.59-3.63
La: 0.0000 0.5544 0.7009  5 La 3.48-3.65, 4 Th 3.59-3.63

=====

[11]
A plane-wave DFT calculation with PBE was carried out for a relaxed ZnBiTe2 crystal.

Values from the calculation:
The formation energy from raw total energies comes out at 0.0373 eV per atom. For the energy above the most stable polymorph in this dataset, the calculation gives 0.1169 eV per atom. As for the crystal system: trigonal. The space group is R-3m, No. 166.

a = 9.1577 Å, b = 9.1577 Å, c = 9.1577 Å
α = 29.45°, β = 29.45°, γ = 29.45°
With the nearest neighbours (Å) after each atom.
Fractional coordinates of all 4 atoms:
Te: 0.9001 0.9001 0.9001  1 Zn 2.62
Bi: 0.5000 0.5000 0.5000  6 Te 3.21
Te: 0.0999 0.0999 0.0999  1 Zn 2.62
Zn: 0.0000 0.0000 0.0000  2 Te 2.62

=====

Taking the records one at a time from the top gives density values of 6.0; 14.7; 5.2; 6.2; 8.7; 7.3; 8.9; 0.8; 7.2; 7.6; 5.4 Mg/m³.